A plane-wave DFT calculation with PBE was carried out for a relaxed Al2CdRu crystal.

Properties
energy relative to the elements	-0.043	eV per atom
ρ	6.9	Mg/m³
E_tot	-4.462	eV/atom

a = 4.577 Å, b = 3.095 Å, c = 4.864 Å
α = 90.00°, β = 110.40°, γ = 90.00°
Space group P2/m (No. 10)
Symmetry-distinct sites (fractional):
Al1 0.000 0.000 0.000 x1
Al2 0.000 0.500 0.500 x1
Cd1 0.500 0.000 0.500 x1
Ru1 0.500 0.500 0.000 x1